(1)
Entry from the Alexandria database: a relaxed Pr2Er2In3 crystal (PBE).

## Properties
Spin magnetization (μB/f.u.): 0.00
Electronic total energy (eV/atom): -4.19
Calculated formation energy (eV per atom): -0.348
Excess energy over the best structure of this formula in the dataset (eV per atom): 0.000
D(E_F) (states/eV/cell): 7.0
Space-group type: C2/m (12)

The structure in POSCAR format:
```
Pr2Er2In3
1.0
3.691 0.000 0.000
-1.845 7.537 -0.012
0.000 -3.998 7.451
Pr Er In
2 2 3
direct
0.870 0.741 0.183
0.130 0.259 0.817
0.816 0.631 0.717
0.184 0.369 0.283
0.500 0.000 0.000
0.582 0.165 0.451
0.418 0.835 0.549
```



(2)
Entry from the Alexandria database: a relaxed Pr6Er2In crystal (PBE).

## Properties
Spin magnetization (μB/f.u.): 0.00
Electronic total energy (eV/atom): -4.57
Calculated formation energy (eV per atom): -0.064
Excess energy over the best structure of this formula in the dataset (eV per atom): 0.000
D(E_F) (states/eV/cell): 26.0
Space-group type: P4_2/mnm (136)

The structure in POSCAR format:
```
Pr6Er2In
1.0
4.999 0.000 0.251
0.000 10.944 0.001
-0.549 0.001 10.930
Pr Er In
12 4 2
direct
0.000 0.993 0.168
0.000 0.668 0.493
0.000 0.656 0.844
0.500 0.156 0.656
0.500 0.168 0.007
0.500 0.493 0.331
0.000 0.007 0.832
0.000 0.332 0.507
0.000 0.344 0.156
0.500 0.844 0.344
0.500 0.832 0.993
0.500 0.507 0.669
0.000 0.337 0.837
0.500 0.837 0.663
0.500 0.163 0.337
0.000 0.663 0.163
0.500 0.500 0.000
0.000 0.000 0.500
```



(3)
Entry from the Alexandria database: a relaxed Pr5Er8In crystal (PBE).

## Properties
Spin magnetization (μB/f.u.): 0.00
Electronic total energy (eV/atom): -4.33
Calculated formation energy (eV per atom): 0.178
D(E_F) (states/eV/cell): 16.7
Space-group type: I-4 (82)

The structure in POSCAR format:
```
Pr5Er8In
1.0
8.019 0.000 -2.643
-4.055 6.814 -2.900
0.091 0.000 8.443
Pr Er In
5 8 1
direct
0.020 0.316 0.132
0.868 0.888 0.184
0.816 0.684 0.704
0.500 0.000 0.500
0.296 0.112 0.980
0.169 0.726 0.066
0.934 0.103 0.660
0.734 0.258 0.339
0.661 0.395 0.919
0.524 0.605 0.266
0.557 0.897 0.831
0.340 0.274 0.443
0.081 0.742 0.476
0.250 0.500 0.750
```



(4)
Entry from the Alexandria database: a relaxed Pr2Er3In3 crystal (PBE).

## Properties
Spin magnetization (μB/f.u.): 0.00
Electronic total energy (eV/atom): -4.27
Calculated formation energy (eV per atom): -0.336
Excess energy over the best structure of this formula in the dataset (eV per atom): 0.006
D(E_F) (states/eV/cell): 6.7
Space-group type: Immm (71)

The structure in POSCAR format:
```
Pr2Er3In3
1.0
-1.710 2.411 3.480
-2.137 -4.027 1.740
10.217 -1.224 2.873
Pr Er In
2 3 3
direct
0.259 0.759 0.519
0.741 0.241 0.481
0.384 0.384 0.768
0.616 0.616 0.232
0.500 0.000 0.000
0.880 0.880 0.759
0.000 0.500 0.000
0.120 0.120 0.241
```



(5)
Entry from the Alexandria database: a relaxed Pr12Er5In2 crystal (PBE).

## Properties
Spin magnetization (μB/f.u.): 0.00
Electronic total energy (eV/atom): -4.50
Calculated formation energy (eV per atom): 0.004
D(E_F) (states/eV/cell): 29.4
Space-group type: C2/m (12)

The structure in POSCAR format:
```
Pr12Er5In2
1.0
10.552 0.000 0.000
-5.276 7.250 1.609
0.000 -1.041 8.189
Pr Er In
12 5 2
direct
0.878 0.755 0.098
0.046 0.652 0.792
0.605 0.652 0.792
0.165 0.791 0.375
0.626 0.791 0.375
0.443 0.885 0.694
0.557 0.115 0.306
0.835 0.209 0.625
0.374 0.209 0.625
0.954 0.348 0.208
0.395 0.348 0.208
0.122 0.245 0.902
0.240 0.480 0.515
0.346 0.692 0.088
0.000 0.000 0.500
0.654 0.308 0.912
0.760 0.520 0.485
0.718 0.000 0.000
0.282 0.000 0.000
```



(6)
Entry from the Alexandria database: a relaxed Pr2Er2In crystal (PBE).

## Properties
Spin magnetization (μB/f.u.): 0.00
Electronic total energy (eV/atom): -3.89
Calculated formation energy (eV per atom): 0.391
Excess energy over the best structure of this formula in the dataset (eV per atom): 0.438
D(E_F) (states/eV/cell): 7.5
Space-group type: R-3m (166)

The structure in POSCAR format:
```
Pr2Er2In
1.0
-3.750 3.317 1.238
-1.685 0.288 4.865
3.901 7.051 3.667
Pr Er In
2 2 1
direct
0.565 0.565 0.305
0.435 0.435 0.695
0.300 0.300 0.100
0.700 0.700 0.900
0.000 0.000 0.000
```



(7)
Entry from the Alexandria database: a relaxed Pr9Er4In11 crystal (PBE).

## Properties
Spin magnetization (μB/f.u.): 0.00
Electronic total energy (eV/atom): -4.21
Calculated formation energy (eV per atom): -0.401
D(E_F) (states/eV/cell): 22.5
Space-group type: Cmmm (65)

The structure in POSCAR format:
```
Pr9Er4In11
1.0
-0.070 -3.534 0.138
14.039 -0.208 1.841
-4.452 0.613 13.429
Pr Er In
9 4 11
direct
0.500 0.629 0.142
0.500 0.371 0.858
0.500 0.142 0.629
0.500 0.858 0.371
0.500 0.790 0.960
0.500 0.210 0.040
0.500 0.960 0.790
0.500 0.040 0.210
0.500 0.500 0.500
0.500 0.564 0.738
0.500 0.436 0.262
0.500 0.738 0.564
0.500 0.262 0.436
0.000 0.577 0.931
0.000 0.423 0.069
0.000 0.931 0.577
0.000 0.069 0.423
0.000 0.634 0.366
0.000 0.366 0.634
0.000 0.836 0.164
0.000 0.164 0.836
0.000 0.000 0.000
0.000 0.754 0.754
0.000 0.246 0.246
```



(8)
Entry from the Alexandria database: a relaxed Pr6ErIn5 crystal (PBE).

## Properties
Spin magnetization (μB/f.u.): 0.00
Electronic total energy (eV/atom): -4.30
Calculated formation energy (eV per atom): -0.391
D(E_F) (states/eV/cell): 11.5
Space-group type: Immm (71)

The structure in POSCAR format:
```
Pr6ErIn5
1.0
-1.065 -0.282 4.978
-8.829 1.799 -1.787
3.557 -8.302 -2.320
Pr In Er
6 5 1
direct
0.829 0.569 0.658
0.829 0.089 0.658
0.500 0.735 0.000
0.500 0.265 0.000
0.171 0.911 0.342
0.171 0.431 0.342
0.653 0.153 0.305
0.329 0.329 0.657
0.000 0.500 0.000
0.671 0.671 0.343
0.347 0.847 0.695
0.000 0.000 0.000
```